This record from the Alexandria database describes an optimized crystal structure of SmZnIn. The functional is PBE.

Properties
**Space-group type**: No. 194
**Electronic total energy**: -3.36 eV/atom
**Energy relative to the elements**: -0.44 eV per atom
**Crystal system**: hexagonal

```
SmZnIn
1.0
4.7258 0.0000 0.0000
-2.3629 4.0926 0.0000
0.0000 0.0000 14.8671
Sm Zn In
4 4 4
direct
0.0000 0.0000 0.0000 Sm
0.0000 0.0000 0.2500 Sm
0.0000 0.0000 0.5000 Sm
0.0000 0.0000 0.7500 Sm
0.3333 0.6667 0.1116 Zn
0.3333 0.6667 0.3884 Zn
0.6667 0.3333 0.6116 Zn
0.6667 0.3333 0.8884 Zn
0.3333 0.6667 0.6242 In
0.3333 0.6667 0.8758 In
0.6667 0.3333 0.1242 In
0.6667 0.3333 0.3758 In
```


This record from the Alexandria database describes an optimized crystal structure of Sm3Zn9In2. The functional is PBE.

Properties
**Space-group type**: No. 71
**Electronic total energy**: -2.55 eV/atom
**Energy relative to the elements**: -0.32 eV per atom
**Crystal system**: orthorhombic

```
Sm3Zn9In2
1.0
-2.2280 4.7068 6.6409
2.2280 -4.7068 6.6409
2.2280 4.7068 -6.6409
Sm Zn In
3 9 2
direct
0.0000 0.0000 0.0000 Sm
0.2954 0.2954 0.0000 Sm
0.7046 0.7046 0.0000 Sm
0.0311 0.6631 0.3680 Zn
0.1250 0.8517 0.2733 Zn
0.2951 0.6631 0.6320 Zn
0.4216 0.1483 0.2733 Zn
0.5000 0.0000 0.5000 Zn
0.5784 0.8517 0.7267 Zn
0.7049 0.3369 0.3680 Zn
0.8750 0.1483 0.7267 Zn
0.9689 0.3369 0.6320 Zn
0.3032 0.5000 0.8032 In
0.6968 0.5000 0.1968 In
```


This record from the Alexandria database describes an optimized crystal structure of SmZn2In. The functional is PBE.

Properties
**Space-group type**: No. 65
**Electronic total energy**: -2.68 eV/atom
**Energy relative to the elements**: -0.18 eV per atom
**Crystal system**: orthorhombic

```
SmZn2In
1.0
2.8765 -4.8958 0.0000
2.8765 4.8958 0.0000
0.0000 0.0000 3.2553
Sm Zn In
1 2 1
direct
0.0000 0.0000 0.0000 Sm
0.0000 0.5000 0.5000 Zn
0.5000 0.0000 0.5000 Zn
0.5000 0.5000 0.5000 In
```


| no. | size of the total moment (μB per formula unit) |
| --- | --- |
| 1 | 0.00 |
| 2 | 0.00 |
| 3 | 0.00 |